# 1
Crystalline RbEuTlHg at its relaxed geometry, computed with PBE.

a b c (Å): 8.2694 8.2694 8.2694
angles (deg): 90.00 90.00 90.00
Last column: nearest neighbours and their distance in Å.
Element x y z (fractional)
Rb 0.0000 0.0000 0.0000  4 Hg 3.58, 4 Tl 3.58
Rb 0.0000 0.5000 0.5000  4 Hg 3.58, 4 Tl 3.58
Rb 0.5000 0.0000 0.5000  4 Hg 3.58, 4 Tl 3.58
Rb 0.5000 0.5000 0.0000  4 Hg 3.58, 4 Tl 3.58
Eu 0.0000 0.0000 0.5000  4 Hg 3.58, 4 Tl 3.58
Eu 0.0000 0.5000 0.0000  4 Hg 3.58, 4 Tl 3.58
Eu 0.5000 0.0000 0.0000  4 Hg 3.58, 4 Tl 3.58
Eu 0.5000 0.5000 0.5000  4 Hg 3.58, 4 Tl 3.58
Tl 0.2500 0.2500 0.7500  4 Rb 3.58, 4 Eu 3.58
Tl 0.2500 0.7500 0.2500  4 Rb 3.58, 4 Eu 3.58
Tl 0.7500 0.2500 0.2500  4 Rb 3.58, 4 Eu 3.58
Tl 0.7500 0.7500 0.7500  4 Eu 3.58, 4 Rb 3.58
Hg 0.2500 0.2500 0.2500  4 Rb 3.58, 4 Eu 3.58
Hg 0.2500 0.7500 0.7500  4 Rb 3.58, 4 Eu 3.58
Hg 0.7500 0.2500 0.7500  4 Rb 3.58, 4 Eu 3.58
Hg 0.7500 0.7500 0.2500  4 Rb 3.58, 4 Eu 3.58

DFT formation energy (meV per atom): -146
E (eV per formula unit): -14.49

=====

# 2
Crystalline Eu2HgRh at its relaxed geometry, computed with PBE.

a b c (Å): 7.3907 7.3907 7.3907
angles (deg): 90.00 90.00 90.00
Last column: nearest neighbours and their distance in Å.
Element x y z (fractional)
Eu 0.2500 0.2500 0.2500  4 Rh 3.20, 4 Hg 3.20
Eu 0.2500 0.2500 0.7500  4 Hg 3.20, 4 Rh 3.20
Eu 0.2500 0.7500 0.2500  4 Hg 3.20, 4 Rh 3.20
Eu 0.2500 0.7500 0.7500  4 Hg 3.20, 4 Rh 3.20
Eu 0.7500 0.2500 0.2500  4 Hg 3.20, 4 Rh 3.20
Eu 0.7500 0.2500 0.7500  4 Hg 3.20, 4 Rh 3.20
Eu 0.7500 0.7500 0.2500  4 Hg 3.20, 4 Rh 3.20
Eu 0.7500 0.7500 0.7500  4 Hg 3.20, 4 Rh 3.20
Hg 0.0000 0.0000 0.0000  8 Eu 3.20
Hg 0.0000 0.5000 0.5000  8 Eu 3.20
Hg 0.5000 0.0000 0.5000  8 Eu 3.20
Hg 0.5000 0.5000 0.0000  8 Eu 3.20
Rh 0.0000 0.0000 0.5000  8 Eu 3.20
Rh 0.0000 0.5000 0.0000  8 Eu 3.20
Rh 0.5000 0.0000 0.0000  8 Eu 3.20
Rh 0.5000 0.5000 0.5000  8 Eu 3.20

Polymorph energy (0 for the lowest one) (meV per atom): 46
DFT formation energy (meV per atom): -404
E (eV per formula unit): -29.82

=====

# 3
Crystalline Eu2HgRh at its relaxed geometry, computed with PBE.

a b c (Å): 4.0688 4.0688 29.6341
angles (deg): 90.00 90.00 120.00
Last column: nearest neighbours and their distance in Å.
Element x y z (fractional)
Eu 0.0000 0.0000 0.1123  3 Rh 2.85
Eu 0.0000 0.0000 0.8877  3 Rh 2.85
Eu 0.3333 0.6667 0.5543  3 Rh 2.85
Eu 0.3333 0.6667 0.7790  3 Rh 2.85
Eu 0.6667 0.3333 0.2210  3 Rh 2.85
Eu 0.6667 0.3333 0.4457  3 Rh 2.85
Hg 0.0000 0.0000 0.0000  2 Eu 3.33
Hg 0.3333 0.6667 0.6667  2 Eu 3.33
Hg 0.6667 0.3333 0.3333  2 Eu 3.33
Rh 0.0000 0.0000 0.5000  6 Eu 2.85
Rh 0.3333 0.6667 0.1667  6 Eu 2.85
Rh 0.6667 0.3333 0.8333  6 Eu 2.85

Polymorph energy (0 for the lowest one) (meV per atom): 278
DFT formation energy (meV per atom): -173
E (eV per formula unit): -28.89

=====

# 4
Crystalline EuHg3Rh at its relaxed geometry, computed with PBE.

a b c (Å): 5.2282 5.2282 5.2282
angles (deg): 90.00 90.00 90.00
Last column: nearest neighbours and their distance in Å.
Element x y z (fractional)
Eu 0.0000 0.0000 0.0000  12 Hg 3.70
Hg 0.0000 0.5000 0.5000  2 Rh 2.61
Hg 0.5000 0.0000 0.5000  2 Rh 2.61
Hg 0.5000 0.5000 0.0000  2 Rh 2.61
Rh 0.5000 0.5000 0.5000  6 Hg 2.61

DFT formation energy (meV per atom): -141
E (eV per formula unit): -19.24

=====

# 5
Crystalline Eu3HgRh at its relaxed geometry, computed with PBE.

a b c (Å): 5.5644 5.5644 5.5644
angles (deg): 90.00 90.00 90.00
Last column: nearest neighbours and their distance in Å.
Element x y z (fractional)
Eu 0.0000 0.0000 0.5000  2 Rh 2.78
Eu 0.0000 0.5000 0.0000  2 Rh 2.78
Eu 0.5000 0.0000 0.0000  2 Rh 2.78
Hg 0.5000 0.5000 0.5000  12 Eu 3.93
Rh 0.0000 0.0000 0.0000  6 Eu 2.78

DFT formation energy (meV per atom): -297
E (eV per formula unit): -39.96

=====

# 6
Crystalline Eu2HgRh at its relaxed geometry, computed with PBE.

a b c (Å): 3.6195 3.6195 7.7654
angles (deg): 90.00 90.00 90.00
Last column: nearest neighbours and their distance in Å.
Element x y z (fractional)
Eu 0.0000 0.0000 0.2183  4 Rh 3.07, 4 Hg 3.37, 1 Eu 3.39
Eu 0.0000 0.0000 0.7817  4 Rh 3.07, 4 Hg 3.37, 1 Eu 3.39
Hg 0.5000 0.5000 0.5000  8 Eu 3.37, 4 Hg 3.62
Rh 0.5000 0.5000 0.0000  8 Eu 3.07

Polymorph energy (0 for the lowest one) (meV per atom): 0
DFT formation energy (meV per atom): -451
E (eV per formula unit): -30.01

=====

# 7
Crystalline EuHg2Rh at its relaxed geometry, computed with PBE.

a b c (Å): 7.1072 7.1072 7.1072
angles (deg): 90.00 90.00 90.00
Last column: nearest neighbours and their distance in Å.
Element x y z (fractional)
Eu 0.0000 0.0000 0.0000  8 Hg 3.08
Eu 0.0000 0.5000 0.5000  8 Hg 3.08
Eu 0.5000 0.0000 0.5000  8 Hg 3.08
Eu 0.5000 0.5000 0.0000  8 Hg 3.08
Hg 0.2500 0.2500 0.2500  4 Rh 3.08, 4 Eu 3.08
Hg 0.2500 0.2500 0.7500  4 Rh 3.08, 4 Eu 3.08
Hg 0.2500 0.7500 0.2500  4 Rh 3.08, 4 Eu 3.08
Hg 0.2500 0.7500 0.7500  4 Rh 3.08, 4 Eu 3.08
Hg 0.7500 0.2500 0.2500  4 Rh 3.08, 4 Eu 3.08
Hg 0.7500 0.2500 0.7500  4 Rh 3.08, 4 Eu 3.08
Hg 0.7500 0.7500 0.2500  4 Rh 3.08, 4 Eu 3.08
Hg 0.7500 0.7500 0.7500  4 Rh 3.08, 4 Eu 3.08
Rh 0.0000 0.0000 0.5000  8 Hg 3.08
Rh 0.0000 0.5000 0.0000  8 Hg 3.08
Rh 0.5000 0.0000 0.0000  8 Hg 3.08
Rh 0.5000 0.5000 0.5000  8 Hg 3.08

DFT formation energy (meV per atom): -187
E (eV per formula unit): -18.98

=====

# 8
Crystalline SmEuHgRh at its relaxed geometry, computed with PBE.

a b c (Å): 7.3265 7.3265 7.3265
angles (deg): 90.00 90.00 90.00
Last column: nearest neighbours and their distance in Å.
Element x y z (fractional)
Sm 0.0000 0.0000 0.0000  4 Hg 3.17, 4 Rh 3.17
Sm 0.0000 0.5000 0.5000  4 Hg 3.17, 4 Rh 3.17
Sm 0.5000 0.0000 0.5000  4 Hg 3.17, 4 Rh 3.17
Sm 0.5000 0.5000 0.0000  4 Hg 3.17, 4 Rh 3.17
Eu 0.0000 0.0000 0.5000  4 Hg 3.17, 4 Rh 3.17
Eu 0.0000 0.5000 0.0000  4 Hg 3.17, 4 Rh 3.17
Eu 0.5000 0.0000 0.0000  4 Hg 3.17, 4 Rh 3.17
Eu 0.5000 0.5000 0.5000  4 Hg 3.17, 4 Rh 3.17
Hg 0.2500 0.2500 0.7500  4 Sm 3.17, 4 Eu 3.17
Hg 0.2500 0.7500 0.2500  4 Sm 3.17, 4 Eu 3.17
Hg 0.7500 0.2500 0.2500  4 Sm 3.17, 4 Eu 3.17
Hg 0.7500 0.7500 0.7500  4 Sm 3.17, 4 Eu 3.17
Rh 0.2500 0.2500 0.2500  4 Sm 3.17, 4 Eu 3.17
Rh 0.2500 0.7500 0.7500  4 Sm 3.17, 4 Eu 3.17
Rh 0.7500 0.2500 0.7500  4 Sm 3.17, 4 Eu 3.17
Rh 0.7500 0.7500 0.2500  4 Sm 3.17, 4 Eu 3.17

DFT formation energy (meV per atom): -463
E (eV per formula unit): -24.50